DFT (PBE) results for a relaxed structure of MnTc2Ag.

Lattice parameters (Å, degrees): 4.708 4.708 4.708 130.35 130.23 72.94
Atoms (fractional coordinates):
Ag (0.500, 0.500, 0.000)
Mn (0.250, 0.750, 0.500)
Tc (0.000, 0.000, 0.000)
Tc (0.750, 0.250, 0.500)

Properties
E_tot (eV/cell): -31.190
Total moment (μB/f.u.): 2.982
Density of states at the Fermi level (states/eV per atom): 0.91
Distance to the lowest polymorph of the same formula (meV/atom): 145
Symmetry: I-4m2